Entry 1:
The following is a PBE-GGA calculation of a relaxed LaZrNO2 crystal, from the Alexandria database.

Results
ΔE_f (raw): -61 kJ/mol of atoms
DOS(E_F): 3.8 states/eV/cell
Space-group type: P4/mmm
Uncorrected energy: -0.256 hartree per atom

abc: 4.4660 4.4660 4.4646
angles: 90.00 90.00 90.00
Element x y z (fractional)
La1 0.0000 0.0000 0.0000
Zr1 0.5000 0.5000 0.5000
N1 0.0000 0.0000 0.5000
O1 0.0000 0.5000 0.0000
O2 0.5000 0.0000 0.0000



Entry 2:
The following is a PBE-GGA calculation of a relaxed CrNi4Cl crystal, from the Alexandria database.

Results
ΔE_f (raw): 48 kJ/mol of atoms
DOS(E_F): 11.4 states/eV/cell
Space-group type: F-43m
Uncorrected energy: -0.194 hartree per atom

abc: 4.8223 4.8223 4.8223
angles: 60.00 60.00 60.00
Element x y z (fractional)
Cr1 0.0000 0.0000 0.0000
Ni1 0.1231 0.6256 0.6256
Ni2 0.6256 0.1231 0.6256
Ni3 0.6256 0.6256 0.1231
Ni4 0.6256 0.6256 0.6256
Cl1 0.2500 0.2500 0.2500



Entry 3:
The following is a PBE-GGA calculation of a relaxed TeP2W crystal, from the Alexandria database.

Results
ΔE_f (raw): 28 kJ/mol of atoms
DOS(E_F): 1.6 states/eV/cell
Space-group type: C2/m
Uncorrected energy: -0.237 hartree per atom

abc: 4.4198 4.4198 5.5984
angles: 95.53 95.53 43.35
Element x y z (fractional)
Te1 0.0000 0.0000 0.0000
P1 0.2172 0.2172 0.6583
P2 0.7828 0.7828 0.3417
W1 0.5000 0.5000 0.5000



Entry 4:
The following is a PBE-GGA calculation of a relaxed RbH4Rh crystal, from the Alexandria database.

Results
E above lowest polymorph: 0.1063 eV per atom
DOS(E_F): 3.9 states/eV/cell
Space-group type: P2_1/c
Uncorrected energy: -0.136 hartree per atom

abc: 5.9273 4.7809 4.7986
angles: 90.00 90.01 90.00
Element x y z (fractional)
Rb1 0.0000 0.0000 0.0000
Rb2 0.0000 0.5000 0.5000
H1 0.2206 0.0163 0.5000
H2 0.2206 0.4837 0.0000
H3 0.4354 0.7489 0.2510
H4 0.4354 0.7511 0.7510
H5 0.5646 0.2489 0.2490
H6 0.5646 0.2511 0.7490
H7 0.7794 0.5163 0.0000
H8 0.7794 0.9837 0.5000
Rh1 0.5000 0.0000 0.5000
Rh2 0.5000 0.5000 0.0000



Entry 5:
The following is a PBE-GGA calculation of a relaxed SbOs2Pt crystal, from the Alexandria database.

Results
ΔE_f (raw): 42 kJ/mol of atoms
DOS(E_F): 2.4 states/eV/cell
Space-group type: C2/m
Uncorrected energy: -0.284 hartree per atom

abc: 4.7321 4.7321 5.1018
angles: 102.63 102.63 36.36
Element x y z (fractional)
Sb1 0.0000 0.0000 0.0000
Os1 0.2545 0.2545 0.7224
Os2 0.7455 0.7455 0.2776
Pt1 0.5000 0.5000 0.5000



Entry 6:
The following is a PBE-GGA calculation of a relaxed Cs2ZnAsI6 crystal, from the Alexandria database.

Results
ΔE_f (raw): -73 kJ/mol of atoms
DOS(E_F): 2.9 states/eV/cell
Space-group type: I4/mmm
Uncorrected energy: -0.090 hartree per atom

abc: 8.3136 8.3136 8.3136
angles: 118.61 118.61 92.42
Element x y z (fractional)
Cs1 0.2500 0.7500 0.5000
Cs2 0.7500 0.2500 0.5000
Zn1 0.0000 0.0000 0.0000
As1 0.5000 0.5000 0.0000
I1 0.2391 0.2391 0.0000
I2 0.2576 0.2576 0.5151
I3 0.2576 0.7424 0.0000
I4 0.7424 0.2576 0.0000
I5 0.7424 0.7424 0.4849
I6 0.7609 0.7609 0.0000